Here is Ce2MnS2O2 after structural relaxation from the Alexandria database. Energies are from PBE with a Hubbard U.

Unit cell a=11.4810 b=3.8295 c=6.8712 alpha=90.00 beta=121.57 gamma=90.00
Closest atoms and distances in Å follow each position.
Positions (direct):
Ce 0.1848 0.0000 0.2270  3 O 2.29-2.38
Ce 0.3152 0.5000 0.7730  3 O 2.29-2.38
Ce 0.6848 0.5000 0.2270  3 O 2.29-2.38
Ce 0.8152 0.0000 0.7730  3 O 2.29-2.38
Mn 0.0000 0.0000 0.5000  2 O 2.07
Mn 0.5000 0.5000 0.5000  2 O 2.07
S 0.0612 0.5000 0.8202  2 Mn 2.72
S 0.4388 0.0000 0.1798  2 Mn 2.72
S 0.5612 0.0000 0.8202  2 Mn 2.72
S 0.9388 0.5000 0.1798  2 Mn 2.72
O 0.2019 0.0000 0.5878  1 Mn 2.07, 2 Ce 2.29
O 0.2981 0.5000 0.4122  1 Mn 2.07, 2 Ce 2.29
O 0.7019 0.5000 0.5878  1 Mn 2.07, 2 Ce 2.29
O 0.7981 0.0000 0.4122  1 Mn 2.07, 2 Ce 2.29

Results
Space group: C2/m (12)
Calculated total energy: -107.343 eV/cell